1.
First-principles (PBE-GGA) data for an optimized crystal structure of KRb2Bi, as listed in Alexandria.

**Space group**: Cm (8)
**Volume**: 423.2 Å³ per cell
**ΔH_f (0 K)**: -28.95 kJ/mol of atoms

a = 7.4276 Å, b = 7.4276 Å, c = 11.2722 Å
α = 114.83°, β = 114.83°, γ = 50.17°
Closest atoms and distances in Å follow each position.
Positions (direct):
1 K 0.0000 0.0000 0.0000  3 Bi 3.60-3.84, 2 K 3.82, 1 Rb 3.98
2 K 0.5038 0.5038 0.8098  3 Bi 3.60-3.84, 2 K 3.82, 1 Rb 4.02
3 Rb 0.2531 0.2531 0.4052  6 Rb 4.18-4.56, 4 Bi 4.19-4.20, 2 K 4.23-4.25
4 Rb 0.2526 0.2526 0.9086  2 Bi 3.74, 2 K 3.98-4.02
5 Rb 0.6299 0.6299 0.5437  2 Bi 3.80-4.01, 1 K 4.07, 2 Rb 4.18
6 Rb 0.8777 0.8777 0.2689  2 Bi 3.79-4.00, 1 K 4.06, 2 Rb 4.18
7 Bi 0.5519 0.5519 0.1734  3 K 3.60-3.84, 3 Rb 3.74-4.00
8 Bi 0.9559 0.9559 0.6377  3 K 3.60-3.84, 3 Rb 3.74-4.01

---

2.
First-principles (PBE-GGA) data for an optimized crystal structure of Rb2LaReF6, as listed in Alexandria.

**Space group**: Fm-3m (225)
**E_form (uncorrected)**: -2249 meV/atom
**Volume**: 191.1 Å³ per cell

a = 6.4656 Å, b = 6.4656 Å, c = 6.4656 Å
α = 60.00°, β = 60.00°, γ = 60.00°
Closest atoms and distances in Å follow each position.
Positions (direct):
1 Rb 0.2500 0.2500 0.2500  12 F 3.23
2 Rb 0.7500 0.7500 0.7500  12 F 3.23
3 La 0.0000 0.0000 0.0000  6 F 2.34
4 Re 0.5000 0.5000 0.5000  6 F 2.24
5 F 0.2554 0.2554 0.7446  1 Re 2.24, 1 La 2.34
6 F 0.2554 0.7446 0.2554  1 Re 2.24, 1 La 2.34
7 F 0.2554 0.7446 0.7446  1 Re 2.24, 1 La 2.34
8 F 0.7446 0.2554 0.2554  1 Re 2.24, 1 La 2.34
9 F 0.7446 0.2554 0.7446  1 Re 2.24, 1 La 2.34
10 F 0.7446 0.7446 0.2554  1 Re 2.24, 1 La 2.34

---

3.
First-principles (PBE-GGA) data for an optimized crystal structure of HfTi2InGe, as listed in Alexandria.

**Space group**: P4/mmm (123)
**Volume**: 122.7 Å³ per cell
**ΔH_f (0 K)**: 118.55 kJ/mol of atoms

a = 4.9998 Å, b = 4.9998 Å, c = 4.9067 Å
α = 90.00°, β = 90.00°, γ = 90.00°
Closest atoms and distances in Å follow each position.
Positions (direct):
1 Hf 0.0000 0.0000 0.0000  8 Ti 3.50, 4 Ge 3.54
2 Ti 0.0000 0.5000 0.5000  2 In 2.50
3 Ti 0.5000 0.0000 0.5000  2 In 2.50
4 In 0.5000 0.5000 0.5000  2 Ge 2.45, 4 Ti 2.50
5 Ge 0.5000 0.5000 0.0000  2 In 2.45

---

4.
First-principles (PBE-GGA) data for an optimized crystal structure of BaMg2S, as listed in Alexandria.

**Space group**: I-42d (122)
**E_form (uncorrected)**: -574 meV/atom
**Volume**: 242.9 Å³ per cell

a = 6.9765 Å, b = 6.9765 Å, c = 6.9765 Å
α = 101.53°, β = 101.53°, γ = 126.88°
Closest atoms and distances in Å follow each position.
Positions (direct):
1 Ba 0.0000 0.0000 0.0000  2 S 3.12
2 Ba 0.7500 0.2500 0.5000  2 S 3.12
3 Mg 0.2015 0.1250 0.5765  2 S 2.80
4 Mg 0.3750 0.7985 0.9235  2 S 2.80
5 Mg 0.5485 0.6250 0.4235  2 S 2.80
6 Mg 0.8750 0.4515 0.0765  2 S 2.80
7 S 0.2500 0.7500 0.5000  4 Mg 2.80, 2 Ba 3.12
8 S 0.5000 0.5000 0.0000  4 Mg 2.80, 2 Ba 3.12

---

5.
First-principles (PBE-GGA) data for an optimized crystal structure of Tl2GeBiSe5, as listed in Alexandria.

**Space group**: Cmc2_1 (36)
**E_form (uncorrected)**: -310 meV/atom
**Volume**: 527.7 Å³ per cell

a = 10.0323 Å, b = 10.0323 Å, c = 13.5055 Å
α = 90.00°, β = 90.00°, γ = 157.16°
Closest atoms and distances in Å follow each position.
Positions (direct):
1 Tl 0.1174 0.8826 0.5000  8 Se 3.25-3.59
2 Tl 0.1315 0.8685 0.1549  6 Se 3.02-3.20
3 Tl 0.8685 0.1315 0.6549  6 Se 3.02-3.20
4 Tl 0.8826 0.1174 0.0000  8 Se 3.25-3.59
5 Ge 0.4468 0.5532 0.2413  4 Se 2.34-2.51
6 Ge 0.5532 0.4468 0.7413  4 Se 2.34-2.51
7 Bi 0.2035 0.7965 0.8592  5 Se 2.77-3.08
8 Bi 0.7965 0.2035 0.3592  5 Se 2.77-3.08
9 Se 0.0338 0.9662 0.8515  2 Ge 2.51
10 Se 0.2881 0.7119 0.5111  2 Bi 2.86, 2 Tl 3.20
11 Se 0.3306 0.6694 0.1923  1 Ge 2.38
12 Se 0.3414 0.6586 0.8189  1 Bi 2.77, 2 Tl 3.02
13 Se 0.4845 0.5155 0.5994  1 Ge 2.34
14 Se 0.5155 0.4845 0.0994  1 Ge 2.34
15 Se 0.6586 0.3414 0.3189  1 Bi 2.77, 2 Tl 3.02
16 Se 0.6694 0.3306 0.6923  1 Ge 2.38
17 Se 0.7119 0.2881 0.0111  2 Bi 2.86, 2 Tl 3.20
18 Se 0.9662 0.0338 0.3515  2 Ge 2.51

---

6.
First-principles (PBE-GGA) data for an optimized crystal structure of Dy4YSc4, as listed in Alexandria.

**Space group**: I4/mmm (139)
**Volume**: 254.6 Å³ per cell
**ΔH_f (0 K)**: 5.32 kJ/mol of atoms

a = 7.6569 Å, b = 7.6569 Å, c = 7.6569 Å
α = 95.68°, β = 95.68°, γ = 143.32°
Closest atoms and distances in Å follow each position.
Positions (direct):
1 Dy 0.0000 0.3294 0.3294  1 Y 3.39, 6 Sc 3.40-3.42, 5 Dy 3.46-3.51
2 Dy 0.0000 0.6706 0.6706  1 Y 3.39, 6 Sc 3.40-3.42, 5 Dy 3.46-3.51
3 Dy 0.3294 0.0000 0.3294  1 Y 3.39, 6 Sc 3.40-3.42, 5 Dy 3.46-3.51
4 Dy 0.6706 0.0000 0.6706  1 Y 3.39, 6 Sc 3.40-3.42, 5 Dy 3.46-3.51
5 Y 0.0000 0.0000 0.0000  4 Dy 3.39, 8 Sc 3.42
6 Sc 0.3328 0.3328 0.6657  6 Dy 3.40-3.42, 4 Sc 3.41-3.44, 2 Y 3.42
7 Sc 0.3328 0.6672 0.0000  6 Dy 3.40-3.42, 4 Sc 3.41-3.44, 2 Y 3.42
8 Sc 0.6672 0.3328 0.0000  6 Dy 3.40-3.42, 4 Sc 3.41-3.44, 2 Y 3.42
9 Sc 0.6672 0.6672 0.3343  6 Dy 3.40-3.42, 4 Sc 3.41-3.44, 2 Y 3.42

---

7.
First-principles (PBE-GGA) data for an optimized crystal structure of TbPr2Tm5, as listed in Alexandria.

**Polymorph energy (0 for the lowest one)**: 0.0 kJ per mole of atoms
**Space group**: I4/mmm (139)
**Volume**: 253.5 Å³ per cell
**ΔH_f (0 K)**: 2.58 kJ/mol of atoms

a = 7.0919 Å, b = 7.0919 Å, c = 7.0919 Å
α = 119.66°, β = 119.66°, γ = 90.59°
Closest atoms and distances in Å follow each position.
Positions (direct):
1 Tb 0.0000 0.0000 0.0000  8 Tm 3.55, 4 Pr 3.56
2 Pr 0.0000 0.5000 0.5000  10 Tm 3.55-3.56, 2 Tb 3.56
3 Pr 0.5000 0.0000 0.5000  10 Tm 3.55-3.56, 2 Tb 3.56
4 Tm 0.0000 0.0000 0.5000  2 Tb 3.55, 4 Pr 3.55, 6 Tm 3.55-3.56
5 Tm 0.0000 0.5000 0.0000  2 Tb 3.55, 4 Pr 3.55, 6 Tm 3.55-3.56
6 Tm 0.5000 0.0000 0.0000  2 Tb 3.55, 4 Pr 3.55, 6 Tm 3.55-3.56
7 Tm 0.5000 0.5000 0.0000  8 Tm 3.55, 4 Pr 3.56
8 Tm 0.5000 0.5000 0.5000  2 Tb 3.55, 4 Pr 3.55, 6 Tm 3.55-3.56

---

8.
First-principles (PBE-GGA) data for an optimized crystal structure of Ba2ScBe2O6, as listed in Alexandria.

**Space group**: R-3m (166)
**E_form (uncorrected)**: -2699 meV/atom
**Volume**: 150.6 Å³ per cell

a = 6.4022 Å, b = 6.4022 Å, c = 6.4022 Å
α = 51.98°, β = 51.98°, γ = 51.98°
Closest atoms and distances in Å follow each position.
Positions (direct):
1 Ba 0.2246 0.2246 0.2246  9 O 2.85-2.97, 1 Be 3.16
2 Ba 0.7754 0.7754 0.7754  9 O 2.85-2.97, 1 Be 3.16
3 Sc 0.0000 0.0000 0.0000  6 O 2.12
4 Be 0.4155 0.4155 0.4155  3 O 1.55
5 Be 0.5845 0.5845 0.5845  3 O 1.55
6 O 0.2518 0.2518 0.7284  1 Be 1.55
7 O 0.2518 0.7284 0.2518  1 Be 1.55
8 O 0.2716 0.7482 0.7482  1 Be 1.55
9 O 0.7284 0.2518 0.2518  1 Be 1.55
10 O 0.7482 0.2716 0.7482  1 Be 1.55
11 O 0.7482 0.7482 0.2716  1 Be 1.55

---

9.
First-principles (PBE-GGA) data for an optimized crystal structure of HgSeBr, as listed in Alexandria.

**Polymorph energy (0 for the lowest one)**: 31.7 kJ per mole of atoms
**Space group**: I4mm (107)
**E_form (uncorrected)**: 46 meV/atom
**Volume**: 97.1 Å³ per cell

a = 6.5613 Å, b = 6.5613 Å, c = 6.5613 Å
α = 144.00°, β = 144.00°, γ = 51.83°
Closest atoms and distances in Å follow each position.
Positions (direct):
1 Hg 0.0000 0.0000 0.0000  1 Br 2.86, 4 Se 2.91
2 Se 0.5416 0.5416 0.0000  1 Br 2.55
3 Br 0.7574 0.7574 0.0000  1 Se 2.55

---

10.
First-principles (PBE-GGA) data for an optimized crystal structure of La2CuGeC, as listed in Alexandria.

**Space group**: P4/mmm (123)
**Volume**: 108.8 Å³ per cell
**ΔH_f (0 K)**: -28.65 kJ/mol of atoms

a = 5.3456 Å, b = 5.3456 Å, c = 3.8062 Å
α = 90.00°, β = 90.00°, γ = 90.00°
Closest atoms and distances in Å follow each position.
Positions (direct):
1 La 0.0000 0.5000 0.0000  2 C 2.67
2 La 0.5000 0.0000 0.0000  2 C 2.67
3 Cu 0.0000 0.0000 0.5000  2 C 1.90
4 Ge 0.5000 0.5000 0.5000  8 La 3.28
5 C 0.0000 0.0000 0.0000  2 Cu 1.90

---

11.
First-principles (PBE-GGA) data for an optimized crystal structure of Sc5TiZn6, as listed in Alexandria.

**Space group**: P2/m (10)
**Volume**: 219.0 Å³ per cell
**ΔH_f (0 K)**: -31.44 kJ/mol of atoms

a = 4.6839 Å, b = 6.6391 Å, c = 7.4167 Å
α = 90.00°, β = 108.30°, γ = 90.00°
Closest atoms and distances in Å follow each position.
Positions (direct):
1 Sc 0.0000 0.0000 0.0000  8 Zn 2.87-2.89
2 Sc 0.3308 0.0000 0.6620  8 Zn 2.90-2.92
3 Sc 0.3350 0.5000 0.6709  8 Zn 2.83-2.91
4 Sc 0.6650 0.5000 0.3291  8 Zn 2.83-2.91
5 Sc 0.6692 0.0000 0.3380  8 Zn 2.90-2.92
6 Ti 0.0000 0.5000 0.0000  8 Zn 2.82-2.85
7 Zn 0.1642 0.2565 0.3273  1 Ti 2.82, 7 Sc 2.85-2.91
8 Zn 0.1642 0.7435 0.3273  1 Ti 2.82, 7 Sc 2.85-2.91
9 Zn 0.5000 0.2546 0.0000  6 Sc 2.83-2.92, 2 Ti 2.85
10 Zn 0.5000 0.7454 0.0000  6 Sc 2.83-2.92, 2 Ti 2.85
11 Zn 0.8358 0.2565 0.6727  1 Ti 2.82, 7 Sc 2.85-2.91
12 Zn 0.8358 0.7435 0.6727  1 Ti 2.82, 7 Sc 2.85-2.91

---

12.
First-principles (PBE-GGA) data for an optimized crystal structure of Li3ZnAu2, as listed in Alexandria.

**Polymorph energy (0 for the lowest one)**: 0.2 kJ per mole of atoms
**Space group**: P2_1/m (11)
**Volume**: 184.4 Å³ per cell
**ΔH_f (0 K)**: -42.95 kJ/mol of atoms

a = 5.5025 Å, b = 4.1204 Å, c = 8.1436 Å
α = 90.00°, β = 93.00°, γ = 90.00°
Closest atoms and distances in Å follow each position.
Positions (direct):
1 Li 0.0958 0.2500 0.2593  2 Zn 2.73-2.78, 5 Au 2.74-2.82, 5 Li 2.77-2.86
2 Li 0.1566 0.2500 0.9239  5 Au 2.65-2.80, 3 Li 2.77-2.86, 2 Zn 2.84
3 Li 0.3493 0.7500 0.4252  5 Au 2.68-2.76, 3 Zn 2.72-2.93, 4 Li 2.80-2.87
4 Li 0.6507 0.2500 0.5748  5 Au 2.68-2.76, 3 Zn 2.72-2.93, 4 Li 2.80-2.87
5 Li 0.8434 0.7500 0.0761  5 Au 2.65-2.80, 3 Li 2.77-2.86, 2 Zn 2.84
6 Li 0.9042 0.7500 0.7407  2 Zn 2.73-2.78, 5 Au 2.74-2.82, 5 Li 2.77-2.86
7 Zn 0.4018 0.7500 0.7592  7 Li 2.72-2.93, 5 Au 2.74-2.78
8 Zn 0.5982 0.2500 0.2408  7 Li 2.72-2.93, 5 Au 2.74-2.78
9 Au 0.1513 0.2500 0.5951  8 Li 2.68-2.77, 2 Zn 2.78
10 Au 0.3375 0.7500 0.0955  7 Li 2.65-2.82, 3 Zn 2.74-2.78
11 Au 0.6625 0.2500 0.9045  7 Li 2.65-2.82, 3 Zn 2.74-2.78
12 Au 0.8487 0.7500 0.4049  8 Li 2.68-2.77, 2 Zn 2.78